Below is crystalline ZrAlRu at its relaxed geometry, with properties calculated at the PBE-GGA level.

crystal system = tetragonal
ΔE_f = -0.55 eV per atom
total magnetic moment = 0.0 μB/f.u.

```
ZrAlRu
1.0
-0.865 -5.443 0.986
2.201 -4.926 1.497
-0.471 -0.275 3.103
Al Ru Zr
1 1 1
Direct
0.975 0.975 0.025 Al
0.347 0.347 0.653 Ru
0.679 0.679 0.321 Zr
```

Below is crystalline ZrAl2Ru at its relaxed geometry, with properties calculated at the PBE-GGA level.

crystal system = monoclinic
ΔE_f = -0.42 eV per atom
total magnetic moment = 0.0 μB/f.u.

```
ZrAl2Ru
1.0
-3.861 -1.349 -1.469
1.396 -1.717 -2.093
0.616 -4.536 2.544
Ru Al Zr
1 2 1
Direct
0.500 0.250 0.250 Ru
0.000 0.105 0.022 Al
0.000 0.395 0.478 Al
0.500 0.750 0.750 Zr
```

Below is crystalline Zr2AlRu at its relaxed geometry, with properties calculated at the PBE-GGA level.

crystal system = orthorhombic
ΔE_f = -0.44 eV per atom
total magnetic moment = 0.0 μB/f.u.

```
Zr2AlRu
1.0
5.670 -0.005 0.002
2.802 4.930 -0.002
-3.739 -3.319 2.676
Zr Ru Al
2 1 1
Direct
0.753 0.253 0.500 Zr
0.028 0.028 0.000 Zr
0.253 0.753 0.500 Ru
0.466 0.466 0.000 Al
```

Below is crystalline ZrAlRu2 at its relaxed geometry, with properties calculated at the PBE-GGA level.

crystal system = monoclinic
ΔE_f = -0.34 eV per atom
total magnetic moment = 0.0 μB/f.u.

```
ZrAlRu2
1.0
-3.244 -1.412 2.015
-0.812 -1.559 -2.400
2.061 -5.677 -0.659
Ru Al Zr
2 1 1
Direct
0.000 0.023 0.976 Ru
0.500 0.242 0.257 Ru
0.500 0.718 0.784 Al
0.000 0.517 0.483 Zr
```

Below is crystalline ZrAlRu4 at its relaxed geometry, with properties calculated at the PBE-GGA level.

crystal system = cubic
ΔE_f = -0.17 eV per atom
total magnetic moment = 0.0 μB/f.u.

```
ZrAlRu4
1.0
2.800 -2.527 3.491
-2.087 -3.878 2.650
1.492 -4.833 -0.912
Al Ru Zr
1 4 1
Direct
0.000 0.000 0.000 Al
0.877 0.374 0.374 Ru
0.374 0.374 0.374 Ru
0.374 0.374 0.877 Ru
0.374 0.877 0.374 Ru
0.750 0.750 0.750 Zr
```

Below is crystalline ZrAlRu2 at its relaxed geometry, with properties calculated at the PBE-GGA level.

crystal system = tetragonal
ΔE_f = -0.67 eV per atom
total magnetic moment = 0.0 μB/f.u.

```
ZrAlRu2
1.0
3.229 0.000 0.000
0.000 4.397 0.000
0.000 0.000 4.397
Zr Al Ru
1 1 2
Direct
0.500 0.000 0.000 Zr
0.500 0.500 0.500 Al
0.000 0.500 0.000 Ru
0.000 0.000 0.500 Ru
```

Q: Look up the ΔE_f of the third one.
A: -0.44 eV per atom